# 1
DFT (SCAN) results for BeCr2MoRu at its PBEsol-relaxed geometry.

**Density of states at the Fermi level**: 0.57 states/eV per atom
**Space-group type**: P4/mmm (123)
**ΔE_f**: 3.077 eV/f.u.
**Electronic total energy**: -21.551 eV per atom

Geometry as extended XYZ:
```
5
Lattice="-0.8316 1.3426 3.6068 -3.4190 -1.9517 -0.0618 1.7820 -3.1720 1.5916" Properties=species:S:1:pos:R:3 pbc="T T T"
Mo -1.2343 -1.8906 2.5683
Cr -1.7095 -0.9759 -0.0309
Cr -0.4158 0.6713 1.8034
Be 0.0000 0.0000 0.0000
Ru 0.8910 -1.5860 0.7958
```

# 2
DFT (SCAN) results for La2YAl at its PBEsol-relaxed geometry.

**Density of states at the Fermi level**: 1.31 states/eV per atom
**Space-group type**: P4/mmm (123)
**ΔE_f**: -0.511 eV/f.u.
**Electronic total energy**: -30.579 eV per atom

Geometry as extended XYZ:
```
4
Lattice="3.6197 0.0000 0.0000 0.0000 3.6197 0.0000 0.0000 0.0000 9.0802" Properties=species:S:1:pos:R:3 pbc="T T T"
La 0.0000 0.0000 6.4957
La 0.0000 0.0000 2.5845
Al 1.8098 1.8098 4.5401
Y 1.8098 1.8098 0.0000
```

Which value of electronic total energy does entry 1 give?
-21.551 eV per atom